Entry 1:
Compound: Gd3Ho5O12
Source: the Alexandria database
Functional: PBE-GGA
Structure: optimized geometry

Uncorrected formation energy: -67.02 eV per formula unit

Cell and atoms, written as extended XYZ:
```
80
Lattice="-6.742 6.742 6.742 6.742 -6.742 6.742 6.742 6.742 -6.742" Properties=species:S:1:pos:R:3 pbc="T T T"
Gd 3.371 1.686 0.000
Gd 6.742 3.371 -1.686
Gd 1.686 0.000 3.371
Gd 8.428 0.000 3.371
Gd 0.000 3.371 1.686
Gd 3.371 -1.686 6.742
Gd 3.371 8.428 0.000
Gd 6.742 3.371 5.057
Gd -1.686 6.742 3.371
Gd 5.057 6.742 3.371
Gd 0.000 3.371 8.428
Gd 3.371 5.057 6.742
Ho 0.000 0.000 0.000
Ho 3.371 3.371 -3.371
Ho 3.371 -3.371 3.371
Ho 6.742 0.000 0.000
Ho 10.113 1.686 0.000
Ho 6.742 -3.371 5.057
Ho 5.057 6.742 -3.371
Ho 5.057 0.000 3.371
Ho 3.371 5.057 0.000
Ho 6.742 3.371 1.686
Ho -3.371 3.371 3.371
Ho 0.000 6.742 0.000
Ho 0.000 0.000 6.742
Ho 3.371 3.371 3.371
Ho 0.000 3.371 5.057
Ho 3.371 1.686 6.742
Ho 1.686 6.742 3.371
Ho 1.686 0.000 10.113
Ho 0.000 10.113 1.686
Ho -3.371 5.057 6.742
O 2.061 -0.299 0.889
O 8.053 4.260 -3.670
O 6.443 -0.889 2.061
O 10.413 -1.310 2.482
O 8.803 0.299 0.889
O 8.053 -2.482 3.670
O 0.889 2.061 -0.299
O 9.225 3.072 -1.310
O 4.260 3.670 -1.310
O 5.853 2.061 0.299
O -0.299 0.889 2.061
O 3.670 -1.310 4.260
O 6.443 5.853 -2.061
O 3.670 1.310 2.482
O 5.853 -2.061 6.443
O 4.260 -3.670 8.053
O 2.482 3.670 1.310
O 7.631 4.681 0.299
O 2.061 6.443 -0.889
O 8.053 2.482 3.072
O 3.670 8.053 -2.482
O 6.443 0.889 4.681
O 1.310 2.482 3.670
O 2.061 0.299 5.853
O 4.681 6.443 0.889
O 5.432 4.260 3.072
O 0.299 5.853 2.061
O 3.072 -1.310 9.225
O -1.310 4.260 3.670
O 4.681 0.299 7.631
O -0.889 2.061 6.443
O 4.260 3.072 5.432
O 2.482 10.413 -1.310
O 0.889 8.803 0.299
O 3.072 5.432 4.260
O 0.299 0.889 8.803
O 3.072 8.053 2.482
O 7.042 5.853 4.681
O 0.889 4.681 6.443
O 2.482 3.072 8.053
O -2.482 3.670 8.053
O 5.853 4.681 7.042
O -1.310 9.225 3.072
O -2.061 6.443 5.853
O -3.670 8.053 4.260
O 0.299 7.631 4.681
O -1.310 2.482 10.413
O 4.681 7.042 5.853
```

Entry 2:
Compound: GdHoO2
Source: the Alexandria database
Functional: PBE-GGA
Structure: optimized geometry

Uncorrected formation energy: -11.56 eV per formula unit

Cell and atoms, written as extended XYZ:
```
4
Lattice="1.797 1.038 6.551 -1.797 1.038 6.551 0.000 -2.075 6.551" Properties=species:S:1:pos:R:3 pbc="T T T"
Gd 0.000 0.000 0.000
Ho 0.000 0.000 9.826
O 0.000 0.000 2.235
O 0.000 0.000 17.417
```

Entry 3:
Compound: Gd2HoO
Source: the Alexandria database
Functional: PBE-GGA
Structure: optimized geometry

Uncorrected formation energy: -3.48 eV per formula unit
Polymorph energy (0 for the lowest one): 432.5 meV/atom

Cell and atoms, written as extended XYZ:
```
4
Lattice="3.217 0.000 0.000 0.000 3.217 0.000 0.000 0.000 8.824" Properties=species:S:1:pos:R:3 pbc="T T T"
Gd 0.000 0.000 1.532
Gd 0.000 0.000 7.292
Ho 1.609 1.609 4.412
O 1.609 1.609 0.000
```

Entry 4:
Compound: Gd2HoO
Source: the Alexandria database
Functional: PBE-GGA
Structure: optimized geometry

Uncorrected formation energy: -5.21 eV per formula unit
Polymorph energy (0 for the lowest one): 0.0 meV/atom

Cell and atoms, written as extended XYZ:
```
4
Lattice="1.784 1.030 8.769 -1.784 1.030 8.769 0.000 -2.059 8.769" Properties=species:S:1:pos:R:3 pbc="T T T"
Gd 0.000 0.000 5.773
Gd 0.000 0.000 20.534
Ho 0.000 0.000 0.000
O 0.000 0.000 13.153
```

Entry 5:
Compound: Gd3HoO
Source: the Alexandria database
Functional: PBE-GGA
Structure: optimized geometry

Uncorrected formation energy: -5.43 eV per formula unit

Cell and atoms, written as extended XYZ:
```
5
Lattice="4.986 0.000 0.000 0.000 4.986 0.000 0.000 0.000 4.986" Properties=species:S:1:pos:R:3 pbc="T T T"
Gd 0.000 0.000 2.493
Gd 0.000 2.493 0.000
Gd 2.493 0.000 0.000
Ho 2.493 2.493 2.493
O 0.000 0.000 0.000
```

Entry 6:
Compound: GdHoOs2
Source: the Alexandria database
Functional: PBE-GGA
Structure: optimized geometry

Energy of formation: 0.00 eV/atom

Cell and atoms, written as extended XYZ:
```
4
Lattice="4.826 0.000 0.000 0.000 4.826 0.000 0.000 0.000 3.417" Properties=species:S:1:pos:R:3 pbc="T T T"
Gd 0.000 0.000 0.000
Ho 2.413 2.413 0.000
Os 0.000 2.413 1.709
Os 2.413 0.000 1.709
```

Entry 7:
Compound: GdHo2Os
Source: the Alexandria database
Functional: PBE-GGA
Structure: optimized geometry

Energy of formation: -0.14 eV/atom

Cell and atoms, written as extended XYZ:
```
4
Lattice="3.394 0.000 0.000 0.000 3.394 0.000 0.000 0.000 9.239" Properties=species:S:1:pos:R:3 pbc="T T T"
Gd 0.000 0.000 0.000
Ho 1.697 1.697 2.970
Ho 1.697 1.697 6.269
Os 0.000 0.000 4.619
```

Entry 8:
Compound: Gd3HoOs
Source: the Alexandria database
Functional: PBE-GGA
Structure: optimized geometry

Energy of formation: 0.04 eV/atom

Cell and atoms, written as extended XYZ:
```
5
Lattice="5.458 0.000 0.000 0.000 5.458 0.000 0.000 0.000 5.458" Properties=species:S:1:pos:R:3 pbc="T T T"
Gd 0.000 0.000 2.729
Gd 0.000 2.729 0.000
Gd 2.729 0.000 0.000
Ho 2.729 2.729 2.729
Os 0.000 0.000 0.000
```

Entry 9:
Compound: GdHoOs4
Source: the Alexandria database
Functional: PBE-GGA
Structure: optimized geometry

Energy of formation: -0.25 eV/atom

Cell and atoms, written as extended XYZ:
```
6
Lattice="0.000 3.793 3.793 3.793 0.000 3.793 3.793 3.793 0.000" Properties=species:S:1:pos:R:3 pbc="T T T"
Gd 0.000 0.000 0.000
Ho 5.689 5.689 5.689
Os 2.845 2.845 2.845
Os 4.740 4.740 2.845
Os 4.740 2.845 4.740
Os 2.845 4.740 4.740
```

Entry 10:
Compound: GdHoOsPd
Source: the Alexandria database
Functional: PBE-GGA
Structure: optimized geometry

Energy of formation: -0.52 eV/atom

Cell and atoms, written as extended XYZ:
```
4
Lattice="0.000 3.456 3.456 3.456 0.000 3.456 3.456 3.456 0.000" Properties=species:S:1:pos:R:3 pbc="T T T"
Gd 0.000 0.000 0.000
Ho 3.456 3.456 3.456
Os 5.185 5.185 5.185
Pd 1.728 1.728 1.728
```

Entry 11:
Compound: GdHoOsRh
Source: the Alexandria database
Functional: PBE-GGA
Structure: optimized geometry

Energy of formation: -0.45 eV/atom

Cell and atoms, written as extended XYZ:
```
4
Lattice="0.000 3.424 3.424 3.424 0.000 3.424 3.424 3.424 0.000" Properties=species:S:1:pos:R:3 pbc="T T T"
Gd 0.000 0.000 0.000
Ho 3.424 3.424 3.424
Os 1.712 1.712 1.712
Rh 5.136 5.136 5.136
```

Entry 12:
Compound: GdHoOsRu
Source: the Alexandria database
Functional: PBE-GGA
Structure: optimized geometry

Energy of formation: -0.15 eV/atom

Cell and atoms, written as extended XYZ:
```
4
Lattice="0.000 3.410 3.410 3.410 0.000 3.410 3.410 3.410 0.000" Properties=species:S:1:pos:R:3 pbc="T T T"
Gd 0.000 0.000 0.000
Ho 3.410 3.410 3.410
Os 5.114 5.114 5.114
Ru 1.705 1.705 1.705
```